(1)
The following is a DFT calculation (PBE) of an optimized crystal structure of SmSb2Pd.

Computed properties:
**Formation energy from raw total energies**: -0.165 eV per atom
**Energy above the lowest structure with this stoichiometry**: 1.906 eV/f.u.

Lattice parameters (Å, degrees): 3.4858 3.4858 30.2884 90.00 90.00 120.00
Space group R-3m (No. 166, hexagonal axes)
Inequivalent atoms, fractional coordinates:
1 Sm 0.0000 0.0000 0.0000 (multiplicity 3)
2 Sb 0.0000 0.0000 0.1037 (multiplicity 6)
3 Pd 0.0000 0.0000 0.5000 (multiplicity 3)

(2)
The following is a DFT calculation (PBE) of an optimized crystal structure of SmSbPd.

Computed properties:
**Formation energy from raw total energies**: -1.048 eV per atom

Lattice parameters (Å, degrees): 4.5689 4.5689 15.9218 90.00 90.00 120.00
Space group P6_3/mmc (No. 194)
Inequivalent atoms, fractional coordinates:
1 Sm 0.0000 0.0000 0.0000 (multiplicity 2)
2 Sm 0.0000 0.0000 0.2500 (multiplicity 2)
3 Sb 0.3333 0.6667 0.1170 (multiplicity 4)
4 Pd 0.3333 0.6667 0.6407 (multiplicity 4)